{"formula": "Ca2SnO", "functional": "PBE", "state": "relaxed", "lattice": [[-6.466, -0.647, 2.477], [2.398, -3.889, 5.243], [-1.475, 1.303, 6.253]], "species": ["Ca", "O", "Ca", "Sn", "Ca", "Ca", "Sn", "O"], "frac_coords": [[0.251, 0.625, 0.250], [0.500, 0.500, 0.000], [0.875, 0.749, 0.750], [0.750, 0.250, 0.500], [0.375, 0.501, 0.750], [0.499, 0.125, 0.250], [0.000, 0.000, 0.000], [0.250, 0.750, 0.500]], "de_polymorph_mev_per_atom": 138, "m_tot_mub_per_cell": 0.0, "dos_ef_per_ev_cell": 2.154, "final_energy_ha_per_atom": -0.1754, "raw_formation_energy_ev_per_atom": -1.531}